Entry 1:
## SnPS2Cl (meta-GGA SCAN)

Data for SnPS2Cl at its PBEsol-relaxed geometry.

Cell lengths 4.820, 4.820, 5.323 Å; angles 90.00, 90.00, 90.00 degrees
Space group P4/mmm (No. 123)
Unique sites:
Sn 0.000 0.000 0.000
P 0.000 0.000 0.500
S 0.000 0.500 0.000
Cl 0.500 0.500 0.500

Computed properties:
Total DFT energy (no corrections)   -13.90 eV/atom
Formation energy (no corrections)   0.809 eV per atom


Entry 2:
## TaP4S6Cl5 (meta-GGA SCAN)

Data for TaP4S6Cl5 at its PBEsol-relaxed geometry.

Cell lengths 6.911, 11.120, 11.272 Å; angles 101.76, 95.42, 105.22 degrees
Space group P-1 (No. 2)
Unique sites:
Ta 0.014 0.266 0.147
P 0.237 0.157 0.543
P 0.439 0.879 0.231
P 0.443 0.812 0.513
P 0.452 0.584 0.285
S 0.243 0.344 0.639
S 0.257 0.055 0.681
S 0.295 0.894 0.389
S 0.304 0.612 0.437
S 0.377 0.677 0.152
S 0.405 0.400 0.207
Cl 0.008 0.694 0.642
Cl 0.062 0.545 0.857
Cl 0.070 0.241 0.945
Cl 0.174 0.111 0.172
Cl 0.310 0.866 0.904

Computed properties:
Total DFT energy (no corrections)   -13.55 eV/atom
Formation energy (no corrections)   -0.684 eV per atom


Q: total DFT energy (no corrections) of number 1 (SnPS2Cl)?
A: -13.90 eV/atom


Q: The lowest total DFT energy (no corrections) belongs to which entry?
A: SnPS2Cl